Entry 1:
The following is a PBE calculation of a relaxed structure of Hf2ZrFe4Ge4, from OQMD.

abc: 3.877 6.698 12.916
angles: 90.00 90.00 90.00
Space group Immm (No. 71)
One atom of each set of equivalent atoms:
1 Hf 0.000 0.000 0.127 x4
2 Zr 0.000 0.500 0.000 x2
3 Fe 0.000 0.195 0.321 x8
4 Ge 0.000 0.301 0.500 x4
5 Ge 0.000 0.500 0.218 x4

Output
- E (eV per atom) = -7.78
- volume (A^3/atom) = 15.25

Entry 2:
The following is a PBE calculation of a relaxed structure of TbGd2Zn3Ir2Pt, from OQMD.

abc: 3.927 12.460 7.203
angles: 90.00 90.00 90.00
Space group Amm2 (No. 38)
One atom of each set of equivalent atoms:
1 Tb 0.000 0.000 0.000 x2
2 Gd 0.000 0.205 0.614 x4
3 Zn 0.500 0.000 0.661 x2
4 Zn 0.500 0.125 0.284 x4
5 Ir 0.500 0.166 0.910 x4
6 Pt 0.000 0.000 0.408 x2

Output
- E (eV per atom) = -5.39
- volume (A^3/atom) = 19.58
- energy of formation (eV/atom) = -0.78

Entry 3:
The following is a PBE calculation of a relaxed structure of ScAgSn2, from OQMD.

abc: 7.179 7.179 7.179
angles: 90.00 90.00 90.00
Space group F-43m (No. 216)
One atom of each set of equivalent atoms:
1 Sc 0.000 0.000 0.000 x4
2 Ag 0.250 0.250 0.250 x4
3 Sn 0.000 0.000 0.500 x4
4 Sn 0.250 0.250 0.750 x4

Output
- E (eV per atom) = -4.38
- volume (A^3/atom) = 23.12

Entry 4:
The following is a PBE calculation of a relaxed structure of Tm2ScTl3PtAu2, from OQMD.

abc: 3.754 13.492 7.800
angles: 90.00 90.00 90.00
Space group Amm2 (No. 38)
One atom of each set of equivalent atoms:
1 Tm 0.000 0.197 0.000 x4
2 Sc 0.000 0.000 0.591 x2
3 Tl 0.500 0.000 0.926 x2
4 Tl 0.500 0.132 0.333 x4
5 Pt 0.000 0.000 0.197 x2
6 Au 0.500 0.165 0.697 x4

Output
- E (eV per atom) = -4.46
- volume (A^3/atom) = 21.95

Entry 5:
The following is a PBE calculation of a relaxed structure of CdNiBMo, from OQMD.

abc: 5.945 5.945 5.945
angles: 90.00 90.00 90.00
Space group F-43m (No. 216)
One atom of each set of equivalent atoms:
1 Cd 0.000 0.000 0.000 x4
2 Ni 0.250 0.250 0.250 x4
3 B 0.250 0.250 0.750 x4
4 Mo 0.000 0.000 0.500 x4

Output
- E (eV per atom) = -5.33
- volume (A^3/atom) = 13.13
- distance to the lowest polymorph of the same formula (meV/atom) = 0

Entry 6:
The following is a PBE calculation of a relaxed structure of KNbF3, from OQMD.

abc: 4.329 4.329 4.329
angles: 90.00 90.00 90.00
Space group Pm-3m (No. 221)
One atom of each set of equivalent atoms:
1 K 0.000 0.000 0.000 x1
2 Nb 0.500 0.500 0.500 x1
3 F 0.000 0.500 0.500 x3

Output
- E (eV per atom) = -5.54
- volume (A^3/atom) = 16.22
- distance to the lowest polymorph of the same formula (meV/atom) = 27

Summary of total magnetic moment in μB per formula unit
5.863, 0.000, 0.001, 0.014, 0.398, 2.978
(order as listed above)